A plane-wave DFT calculation with PBE was carried out for crystalline Tb2DyIn3Ir2Pd at its relaxed geometry.

```
9
Lattice="-2.9244 -1.9799 1.6255 1.9114 2.7752 6.8192 -4.9699 3.7614 -4.3599" Properties=species:S:1:pos:R:3 pbc="T T T"
In -5.0156 4.8262 1.5041
In -3.2320 4.5706 4.4017
In -2.2557 0.7058 1.4507
Pd -3.0579 6.5352 2.4588
Tb -0.1355 4.3230 5.0219
Tb -4.1813 4.9028 -1.5508
Ir -1.8488 2.1165 3.9011
Ir -4.1361 2.4443 0.1853
Dy -1.7993 3.8455 1.4468
```

crystal system	orthorhombic
E_tot	-0.4225	Ry per atom